Arrangement i

# LiMn2Au | the Alexandria database | GGA-PBE | relaxed
data_LiMn2Au
_cell_length_a 3.8739
_cell_length_b 3.8739
_cell_length_c 4.0065
_cell_angle_alpha 90.00
_cell_angle_beta 90.00
_cell_angle_gamma 90.00
_space_group_name_H-M_alt 'P 4/m m m'
_space_group_IT_number 123
_space_group_name_Hall '-P 4 2'
loop_
_atom_site_label
_atom_site_type_symbol
_atom_site_fract_x
_atom_site_fract_y
_atom_site_fract_z
_atom_site_occupancy
Li1 Li 0.0000 0.0000 0.0000 1
Mn1 Mn 0.0000 0.5000 0.5000 1
Au1 Au 0.5000 0.5000 0.0000 1
# - spin magnetization (μB/f.u.) = 7.5
# - N(E_F) (states/eV/cell) = 3.1

***

Arrangement ii

# LiMn2Au | the Alexandria database | GGA-PBE | relaxed
data_LiMn2Au
_cell_length_a 3.1701
_cell_length_b 3.1701
_cell_length_c 5.8485
_cell_angle_alpha 90.00
_cell_angle_beta 90.00
_cell_angle_gamma 90.00
_space_group_name_H-M_alt 'P 4 m m'
_space_group_IT_number 99
_space_group_name_Hall 'P 4 -2'
loop_
_atom_site_label
_atom_site_type_symbol
_atom_site_fract_x
_atom_site_fract_y
_atom_site_fract_z
_atom_site_occupancy
Li1 Li 0.0000 0.0000 0.0000 1
Mn1 Mn 0.0000 0.0000 0.4841 1
Mn2 Mn 0.5000 0.5000 0.2761 1
Au1 Au 0.5000 0.5000 0.7726 1
# - spin magnetization (μB/f.u.) = 0.2
# - N(E_F) (states/eV/cell) = 2.8

***

Arrangement iii

# LiMn2Au | the Alexandria database | GGA-PBE | relaxed
data_LiMn2Au
_cell_length_a 3.3801
_cell_length_b 3.3801
_cell_length_c 18.7945
_cell_angle_alpha 90.00
_cell_angle_beta 90.00
_cell_angle_gamma 90.00
_space_group_name_H-M_alt 'I -4 2 d'
_space_group_IT_number 122
_space_group_name_Hall 'I -4 2bw'
loop_
_atom_site_label
_atom_site_type_symbol
_atom_site_fract_x
_atom_site_fract_y
_atom_site_fract_z
_atom_site_occupancy
Li1 Li 0.0000 0.0000 0.0000 1
Mn1 Mn 0.1912 0.2500 0.1250 1
Au1 Au 0.0000 0.0000 0.5000 1
# - spin magnetization (μB/f.u.) = 0.8
# - N(E_F) (states/eV/cell) = 15.1

***

Relative energy table, unit eV/atom: arrangement i 0.050; arrangement ii 0.000; arrangement iii 0.447

***

Arrangement i

# LiMn3Au | the Alexandria database | GGA-PBE | relaxed
data_LiMn3Au
_cell_length_a 4.2324
_cell_length_b 4.2324
_cell_length_c 4.2324
_cell_angle_alpha 90.00
_cell_angle_beta 90.00
_cell_angle_gamma 90.00
_space_group_name_H-M_alt 'P m -3 m'
_space_group_IT_number 221
_space_group_name_Hall '-P 4 2 3'
loop_
_atom_site_label
_atom_site_type_symbol
_atom_site_fract_x
_atom_site_fract_y
_atom_site_fract_z
_atom_site_occupancy
Li1 Li 0.0000 0.0000 0.0000 1
Mn1 Mn 0.0000 0.0000 0.5000 1
Au1 Au 0.5000 0.5000 0.5000 1
# - spin magnetization (μB/f.u.) = 10.7
# - N(E_F) (states/eV/cell) = 10.2

***

Arrangement ii

# LiMn3Au | the Alexandria database | GGA-PBE | relaxed
data_LiMn3Au
_cell_length_a 5.0154
_cell_length_b 5.0154
_cell_length_c 5.0154
_cell_angle_alpha 90.00
_cell_angle_beta 90.00
_cell_angle_gamma 90.00
_space_group_name_H-M_alt 'P m -3 m'
_space_group_IT_number 221
_space_group_name_Hall '-P 4 2 3'
loop_
_atom_site_label
_atom_site_type_symbol
_atom_site_fract_x
_atom_site_fract_y
_atom_site_fract_z
_atom_site_occupancy
Li1 Li 0.0000 0.0000 0.0000 1
Mn1 Mn 0.0000 0.5000 0.5000 1
Au1 Au 0.5000 0.5000 0.5000 1
# - spin magnetization (μB/f.u.) = 13.2
# - N(E_F) (states/eV/cell) = 3.5

***

Relative energy table, unit eV/atom: arrangement i 0.088; arrangement ii 0.000

***

Arrangement i

# LiMn2Au2 | the Alexandria database | GGA-PBE | relaxed
data_LiMn2Au2
_cell_length_a 7.7578
_cell_length_b 7.7578
_cell_length_c 2.9447
_cell_angle_alpha 90.00
_cell_angle_beta 90.00
_cell_angle_gamma 90.00
_space_group_name_H-M_alt 'P 4/m b m'
_space_group_IT_number 127
_space_group_name_Hall '-P 4 2ab'
loop_
_atom_site_label
_atom_site_type_symbol
_atom_site_fract_x
_atom_site_fract_y
_atom_site_fract_z
_atom_site_occupancy
Li1 Li 0.0000 0.0000 0.0000 1
Mn1 Mn 0.1319 0.3681 0.0000 1
Au1 Au 0.1653 0.6653 0.5000 1
# - spin magnetization (μB/f.u.) = 8.2
# - N(E_F) (states/eV/cell) = 5.3

***

Arrangement ii

# LiMn2Au2 | the Alexandria database | GGA-PBE | relaxed
data_LiMn2Au2
_cell_length_a 7.5391
_cell_length_b 7.5391
_cell_length_c 3.1184
_cell_angle_alpha 90.00
_cell_angle_beta 90.00
_cell_angle_gamma 90.00
_space_group_name_H-M_alt 'P 4/m b m'
_space_group_IT_number 127
_space_group_name_Hall '-P 4 2ab'
loop_
_atom_site_label
_atom_site_type_symbol
_atom_site_fract_x
_atom_site_fract_y
_atom_site_fract_z
_atom_site_occupancy
Li1 Li 0.0000 0.0000 0.0000 1
Mn1 Mn 0.1497 0.3503 0.5000 1
Au1 Au 0.1480 0.6480 0.0000 1
# - spin magnetization (μB/f.u.) = 8.2
# - N(E_F) (states/eV/cell) = 6.6

***

Relative energy table, unit eV/atom: arrangement i 0.013; arrangement ii 0.000